Below is a relaxed Sb2AuBr8 crystal, with properties calculated at the GGA-PBE level.

SG = C2/m, No. 12

Unit cell a=8.2813 b=8.2813 c=8.0058 alpha=108.57 beta=108.57 gamma=72.27
Atoms (fractional coordinates):
1 Sb 0.1426 0.1426 0.1106
2 Sb 0.8574 0.8574 0.8894
3 Au 0.0000 0.0000 0.5000
4 Br 0.1015 0.7108 0.7103
5 Br 0.1840 0.1840 0.7494
6 Br 0.2892 0.8985 0.2897
7 Br 0.3468 0.3468 0.2806
8 Br 0.6532 0.6532 0.7194
9 Br 0.7108 0.1015 0.7103
10 Br 0.8160 0.8160 0.2506
11 Br 0.8985 0.2892 0.2897

Below is a relaxed Sb2AuBr crystal, with properties calculated at the GGA-PBE level.

SG = Amm2, No. 38

Unit cell a=4.2870 b=5.5383 c=9.5394 alpha=90.00 beta=90.00 gamma=90.00
Atoms (fractional coordinates):
1 Sb 0.0000 0.0000 0.0000
2 Sb 0.0000 0.5000 0.5000
3 Sb 0.5000 0.0000 0.2151
4 Sb 0.5000 0.5000 0.7151
5 Au 0.0000 0.0000 0.4310
6 Au 0.0000 0.5000 0.9310
7 Br 0.5000 0.0000 0.7089
8 Br 0.5000 0.5000 0.2089

Below is a relaxed Sb2AuBr crystal, with properties calculated at the GGA-PBE level.

SG = C2/m, No. 12

Unit cell a=7.3753 b=4.4298 c=7.3599 alpha=90.00 beta=101.26 gamma=90.00
Atoms (fractional coordinates):
1 Sb 0.1798 0.0000 0.1731
2 Sb 0.3202 0.5000 0.8269
3 Sb 0.6798 0.5000 0.1731
4 Sb 0.8202 0.0000 0.8269
5 Au 0.0000 0.5000 0.0000
6 Au 0.5000 0.0000 0.0000
7 Br 0.0000 0.0000 0.5000
8 Br 0.5000 0.5000 0.5000

Below is a relaxed SbAu2Br crystal, with properties calculated at the GGA-PBE level.

SG = Pmm2, No. 25

Unit cell a=3.6334 b=3.6460 c=7.2733 alpha=90.00 beta=90.00 gamma=90.00
Atoms (fractional coordinates):
1 Sb 0.0000 0.0000 0.0000
2 Au 0.0000 0.0000 0.6217
3 Au 0.5000 0.5000 0.8213
4 Br 0.5000 0.5000 0.3737

Below is a relaxed SbAu2Br crystal, with properties calculated at the GGA-PBE level.

SG = R-3m, No. 166

Unit cell a=3.9176 b=3.9176 c=21.9097 alpha=90.00 beta=90.00 gamma=120.00
Atoms (fractional coordinates):
1 Sb 0.0000 0.0000 0.0000
2 Sb 0.3333 0.6667 0.6667
3 Sb 0.6667 0.3333 0.3333
4 Au 0.0000 0.0000 0.2570
5 Au 0.0000 0.0000 0.7430
6 Au 0.3333 0.6667 0.4096
7 Au 0.3333 0.6667 0.9237
8 Au 0.6667 0.3333 0.0763
9 Au 0.6667 0.3333 0.5904
10 Br 0.0000 0.0000 0.5000
11 Br 0.3333 0.6667 0.1667
12 Br 0.6667 0.3333 0.8333

Below is a relaxed SbAuBr2 crystal, with properties calculated at the GGA-PBE level.

SG = R-3m, No. 166

Unit cell a=3.6267 b=3.6267 c=29.2143 alpha=90.00 beta=90.00 gamma=120.00
Atoms (fractional coordinates):
1 Sb 0.0000 0.0000 0.0000
2 Sb 0.3333 0.6667 0.6667
3 Sb 0.6667 0.3333 0.3333
4 Au 0.0000 0.0000 0.5000
5 Au 0.3333 0.6667 0.1667
6 Au 0.6667 0.3333 0.8333
7 Br 0.0000 0.0000 0.4153
8 Br 0.0000 0.0000 0.5847
9 Br 0.3333 0.6667 0.0820
10 Br 0.3333 0.6667 0.2514
11 Br 0.6667 0.3333 0.7486
12 Br 0.6667 0.3333 0.9180

Below is a relaxed SbAuBr2 crystal, with properties calculated at the GGA-PBE level.

SG = Pmmm, No. 47

Unit cell a=3.5602 b=4.6882 c=6.0710 alpha=90.00 beta=90.00 gamma=90.00
Atoms (fractional coordinates):
1 Sb 0.0000 0.0000 0.0000
2 Au 0.5000 0.0000 0.5000
3 Br 0.0000 0.5000 0.5000
4 Br 0.5000 0.5000 0.0000

Below is a relaxed SbAu2Br crystal, with properties calculated at the GGA-PBE level.

SG = I4/mmm, No. 139

Unit cell a=4.1055 b=4.1055 c=11.0023 alpha=90.00 beta=90.00 gamma=90.00
Atoms (fractional coordinates):
1 Sb 0.0000 0.0000 0.0000
2 Sb 0.5000 0.5000 0.5000
3 Au 0.0000 0.5000 0.2500
4 Au 0.0000 0.5000 0.7500
5 Au 0.5000 0.0000 0.2500
6 Au 0.5000 0.0000 0.7500
7 Br 0.0000 0.0000 0.5000
8 Br 0.5000 0.5000 0.0000

Below is a relaxed SbAuBr2 crystal, with properties calculated at the GGA-PBE level.

SG = C2/m, No. 12

Unit cell a=15.3680 b=3.7042 c=4.4897 alpha=90.00 beta=91.34 gamma=90.00
Atoms (fractional coordinates):
1 Sb 0.0000 0.0000 0.0000
2 Sb 0.5000 0.5000 0.0000
3 Au 0.0000 0.5000 0.5000
4 Au 0.5000 0.0000 0.5000
5 Br 0.1520 0.5000 0.2272
6 Br 0.3480 0.0000 0.7728
7 Br 0.6520 0.0000 0.2272
8 Br 0.8480 0.5000 0.7728

Below is a relaxed SbAuBr2 crystal, with properties calculated at the GGA-PBE level.

SG = Pm, No. 6

Unit cell a=5.3453 b=3.9742 c=6.3441 alpha=90.00 beta=112.96 gamma=90.00
Atoms (fractional coordinates):
1 Sb 0.0000 0.0000 0.0000
2 Au 0.6449 0.5000 0.7854
3 Br 0.1938 0.0000 0.6745
4 Br 0.4409 0.5000 0.2634

Below is a relaxed SbAu2Br crystal, with properties calculated at the GGA-PBE level.

SG = P4/mmm, No. 123

Unit cell a=5.5609 b=5.5609 c=2.9557 alpha=90.00 beta=90.00 gamma=90.00
Atoms (fractional coordinates):
1 Sb 0.0000 0.0000 0.0000
2 Au 0.0000 0.5000 0.5000
3 Au 0.5000 0.0000 0.5000
4 Br 0.5000 0.5000 0.0000

Below is a relaxed SbAuBr2 crystal, with properties calculated at the GGA-PBE level.

SG = Cm, No. 8

Unit cell a=7.9885 b=3.9158 c=8.6524 alpha=90.00 beta=102.82 gamma=90.00
Atoms (fractional coordinates):
1 Sb 0.0000 0.0000 0.0000
2 Sb 0.5000 0.5000 0.0000
3 Au 0.3160 0.0000 0.8252
4 Au 0.8160 0.5000 0.8252
5 Br 0.1571 0.5000 0.6385
6 Br 0.3366 0.5000 0.2284
7 Br 0.6571 0.0000 0.6385
8 Br 0.8366 0.0000 0.2284

Below is a relaxed SbAu2Br crystal, with properties calculated at the GGA-PBE level.

SG = Cmmm, No. 65

Unit cell a=5.6715 b=8.4586 c=3.8867 alpha=90.00 beta=90.00 gamma=90.00
Atoms (fractional coordinates):
1 Sb 0.0000 0.0000 0.0000
2 Sb 0.5000 0.5000 0.0000
3 Au 0.2500 0.2500 0.5000
4 Au 0.2500 0.7500 0.5000
5 Au 0.7500 0.2500 0.5000
6 Au 0.7500 0.7500 0.5000
7 Br 0.0000 0.5000 0.0000
8 Br 0.5000 0.0000 0.0000

Below is a relaxed SbAu2Br crystal, with properties calculated at the GGA-PBE level.

SG = Pmmm, No. 47

Unit cell a=3.1877 b=4.9351 c=5.7789 alpha=90.00 beta=90.00 gamma=90.00
Atoms (fractional coordinates):
1 Sb 0.0000 0.0000 0.0000
2 Au 0.0000 0.5000 0.5000
3 Au 0.5000 0.0000 0.5000
4 Br 0.5000 0.5000 0.0000

Below is a relaxed Sb2AuBr crystal, with properties calculated at the GGA-PBE level.

SG = P4mm, No. 99

Unit cell a=3.7916 b=3.7916 c=7.4909 alpha=90.00 beta=90.00 gamma=90.00
Atoms (fractional coordinates):
1 Sb 0.0000 0.0000 0.0000
2 Sb 0.5000 0.5000 0.2473
3 Au 0.0000 0.0000 0.3903
4 Br 0.5000 0.5000 0.7185

Below is a relaxed SbAu2Br crystal, with properties calculated at the GGA-PBE level.

SG = Fm-3m, No. 225

Unit cell a=7.1284 b=7.1284 c=7.1284 alpha=90.00 beta=90.00 gamma=90.00
Atoms (fractional coordinates):
1 Sb 0.0000 0.0000 0.0000
2 Sb 0.0000 0.5000 0.5000
3 Sb 0.5000 0.0000 0.5000
4 Sb 0.5000 0.5000 0.0000
5 Au 0.2500 0.2500 0.2500
6 Au 0.2500 0.2500 0.7500
7 Au 0.2500 0.7500 0.2500
8 Au 0.2500 0.7500 0.7500
9 Au 0.7500 0.2500 0.2500
10 Au 0.7500 0.2500 0.7500
11 Au 0.7500 0.7500 0.2500
12 Au 0.7500 0.7500 0.7500
13 Br 0.0000 0.0000 0.5000
14 Br 0.0000 0.5000 0.0000
15 Br 0.5000 0.0000 0.0000
16 Br 0.5000 0.5000 0.5000

Below is a relaxed Sb2AuBr crystal, with properties calculated at the GGA-PBE level.

SG = Cm, No. 8

Unit cell a=13.1199 b=4.0482 c=4.2635 alpha=90.00 beta=90.09 gamma=90.00
Atoms (fractional coordinates):
1 Sb 0.0000 0.0000 0.0000
2 Sb 0.1691 0.5000 0.0011
3 Sb 0.5000 0.5000 0.0000
4 Sb 0.6691 0.0000 0.0011
5 Au 0.0263 0.5000 0.5002
6 Au 0.5263 0.0000 0.5002
7 Br 0.3112 0.0000 0.5007
8 Br 0.8112 0.5000 0.5007

Below is a relaxed SbAuBr2 crystal, with properties calculated at the GGA-PBE level.

SG = P2/m, No. 10

Unit cell a=3.4133 b=4.3536 c=7.6026 alpha=90.00 beta=90.39 gamma=90.00
Atoms (fractional coordinates):
1 Sb 0.0000 0.0000 0.0000
2 Au 0.0000 0.0000 0.5000
3 Br 0.0021 0.5000 0.2537
4 Br 0.9979 0.5000 0.7463

Below is a relaxed SbAuBr2 crystal, with properties calculated at the GGA-PBE level.

SG = Imm2, No. 44

Unit cell a=3.8543 b=5.5423 c=15.8799 alpha=90.00 beta=90.00 gamma=90.00
Atoms (fractional coordinates):
1 Sb 0.0000 0.0000 0.0000
2 Sb 0.5000 0.5000 0.5000
3 Au 0.0000 0.5000 0.6159
4 Au 0.5000 0.0000 0.1159
5 Br 0.0000 0.0000 0.2282
6 Br 0.0000 0.5000 0.9673
7 Br 0.5000 0.0000 0.4673
8 Br 0.5000 0.5000 0.7282

Below is a relaxed Sb2AuBr crystal, with properties calculated at the GGA-PBE level.

SG = Pmmm, No. 47

Unit cell a=3.3799 b=4.9278 c=6.0827 alpha=90.00 beta=90.00 gamma=90.00
Atoms (fractional coordinates):
1 Sb 0.0000 0.0000 0.0000
2 Sb 0.5000 0.0000 0.5000
3 Au 0.0000 0.5000 0.5000
4 Br 0.5000 0.5000 0.0000

Below is a relaxed SbAu2Br crystal, with properties calculated at the GGA-PBE level.

SG = P4/mmm, No. 123

Unit cell a=3.4602 b=3.4602 c=7.6376 alpha=90.00 beta=90.00 gamma=90.00
Atoms (fractional coordinates):
1 Sb 0.0000 0.0000 0.0000
2 Au 0.5000 0.5000 0.2261
3 Au 0.5000 0.5000 0.7739
4 Br 0.0000 0.0000 0.5000

Below is a relaxed Sb2AuBr crystal, with properties calculated at the GGA-PBE level.

SG = R3m, No. 160

Unit cell a=4.0079 b=4.0079 c=25.1794 alpha=90.00 beta=90.00 gamma=120.00
Atoms (fractional coordinates):
1 Sb 0.0000 0.0000 0.0000
2 Sb 0.0000 0.0000 0.2596
3 Sb 0.3333 0.6667 0.6667
4 Sb 0.3333 0.6667 0.9263
5 Sb 0.6667 0.3333 0.3333
6 Sb 0.6667 0.3333 0.5930
7 Au 0.0000 0.0000 0.5246
8 Au 0.3333 0.6667 0.1913
9 Au 0.6667 0.3333 0.8579
10 Br 0.0000 0.0000 0.7947
11 Br 0.3333 0.6667 0.4614
12 Br 0.6667 0.3333 0.1281

Below is a relaxed SbAu2Br crystal, with properties calculated at the GGA-PBE level.

SG = C2/m, No. 12

Unit cell a=12.3656 b=3.2396 c=5.0580 alpha=90.00 beta=113.99 gamma=90.00
Atoms (fractional coordinates):
1 Sb 0.0000 0.0000 0.0000
2 Sb 0.5000 0.5000 0.0000
3 Au 0.2206 0.5000 0.2208
4 Au 0.2794 0.0000 0.7792
5 Au 0.7206 0.0000 0.2208
6 Au 0.7794 0.5000 0.7792
7 Br 0.0000 0.5000 0.5000
8 Br 0.5000 0.0000 0.5000

Below is a relaxed SbAuBr2 crystal, with properties calculated at the GGA-PBE level.

SG = I-42d, No. 122

Unit cell a=10.4689 b=10.4689 c=5.2160 alpha=90.00 beta=90.00 gamma=90.00
Atoms (fractional coordinates):
1 Sb 0.0000 0.0000 0.0000
2 Sb 0.0000 0.5000 0.2500
3 Sb 0.5000 0.0000 0.7500
4 Sb 0.5000 0.5000 0.5000
5 Au 0.0000 0.0000 0.5000
6 Au 0.0000 0.5000 0.7500
7 Au 0.5000 0.0000 0.2500
8 Au 0.5000 0.5000 0.0000
9 Br 0.1040 0.7500 0.1250
10 Br 0.2500 0.1040 0.8750
11 Br 0.2500 0.3960 0.3750
12 Br 0.3960 0.7500 0.6250
13 Br 0.6040 0.2500 0.6250
14 Br 0.7500 0.6040 0.3750
15 Br 0.7500 0.8960 0.8750
16 Br 0.8960 0.2500 0.1250

Below is a relaxed Sb2AuBr crystal, with properties calculated at the GGA-PBE level.

SG = Fm-3m, No. 225

Unit cell a=7.2643 b=7.2643 c=7.2643 alpha=90.00 beta=90.00 gamma=90.00
Atoms (fractional coordinates):
1 Sb 0.2500 0.2500 0.2500
2 Sb 0.2500 0.2500 0.7500
3 Sb 0.2500 0.7500 0.2500
4 Sb 0.2500 0.7500 0.7500
5 Sb 0.7500 0.2500 0.2500
6 Sb 0.7500 0.2500 0.7500
7 Sb 0.7500 0.7500 0.2500
8 Sb 0.7500 0.7500 0.7500
9 Au 0.0000 0.0000 0.0000
10 Au 0.0000 0.5000 0.5000
11 Au 0.5000 0.0000 0.5000
12 Au 0.5000 0.5000 0.0000
13 Br 0.0000 0.0000 0.5000
14 Br 0.0000 0.5000 0.0000
15 Br 0.5000 0.0000 0.0000
16 Br 0.5000 0.5000 0.5000

Below is a relaxed SbAuBr2 crystal, with properties calculated at the GGA-PBE level.

SG = Immm, No. 71

Unit cell a=3.6342 b=4.6143 c=15.7296 alpha=90.00 beta=90.00 gamma=90.00
Atoms (fractional coordinates):
1 Sb 0.0000 0.0000 0.0000
2 Sb 0.5000 0.5000 0.5000
3 Au 0.0000 0.0000 0.5000
4 Au 0.5000 0.5000 0.0000
5 Br 0.0000 0.5000 0.3526
6 Br 0.0000 0.5000 0.6474
7 Br 0.5000 0.0000 0.1474
8 Br 0.5000 0.0000 0.8526

Below is a relaxed Sb2AuBr crystal, with properties calculated at the GGA-PBE level.

SG = Immm, No. 71

Unit cell a=3.6572 b=5.9948 c=9.5416 alpha=90.00 beta=90.00 gamma=90.00
Atoms (fractional coordinates):
1 Sb 0.0000 0.0000 0.2199
2 Sb 0.0000 0.0000 0.7801
3 Sb 0.5000 0.5000 0.2801
4 Sb 0.5000 0.5000 0.7199
5 Au 0.0000 0.5000 0.5000
6 Au 0.5000 0.0000 0.0000
7 Br 0.0000 0.5000 0.0000
8 Br 0.5000 0.0000 0.5000

Below is a relaxed SbAuBr3 crystal, with properties calculated at the GGA-PBE level.

SG = Pm-3m, No. 221

Unit cell a=5.5852 b=5.5852 c=5.5852 alpha=90.00 beta=90.00 gamma=90.00
Atoms (fractional coordinates):
1 Sb 0.0000 0.0000 0.0000
2 Au 0.5000 0.5000 0.5000
3 Br 0.0000 0.0000 0.5000
4 Br 0.0000 0.5000 0.0000
5 Br 0.5000 0.0000 0.0000

Below is a relaxed SbAuBr6 crystal, with properties calculated at the GGA-PBE level.

SG = P-1, No. 2

Unit cell a=5.9208 b=7.3297 c=8.1130 alpha=68.28 beta=70.95 gamma=85.75
Atoms (fractional coordinates):
1 Sb 0.0000 0.0000 0.0000
2 Au 0.5000 0.5000 0.0000
3 Br 0.0111 0.8031 0.3543
4 Br 0.2844 0.3699 0.8406
5 Br 0.4206 0.8358 0.8068
6 Br 0.5794 0.1642 0.1932
7 Br 0.7156 0.6301 0.1594
8 Br 0.9889 0.1969 0.6457

Below is a relaxed SbAuBr2 crystal, with properties calculated at the GGA-PBE level.

SG = P4/mmm, No. 123

Unit cell a=3.3830 b=3.3830 c=8.7521 alpha=90.00 beta=90.00 gamma=90.00
Atoms (fractional coordinates):
1 Sb 0.0000 0.0000 0.0000
2 Au 0.0000 0.0000 0.5000
3 Br 0.5000 0.5000 0.2786
4 Br 0.5000 0.5000 0.7214

Respective E_form (uncorrected) values: -0.36, -0.06, -0.18, 0.03, -0.04, 0.07, 0.26, 0.33, -0.04, -0.20, 0.33, -0.31, 0.22, 0.27, 0.12, 0.41, -0.10, 0.10, -0.29, 0.17, 0.20, -0.01, 0.19, -0.12, 0.21, -0.07, 0.09, 0.14, -0.29, 0.35 eV/atom.